# PBE LiMgV, optimized geometry
data_LiMgV
_chemical_formula_sum 'Li2 Mg2 V2'
_symmetry_space_group_name_H-M 'P 1'
_symmetry_Int_Tables_number 1
_symmetry_space_group_name_Hall 'P 1'
_cell_length_a 5.4671
_cell_length_b 4.9266
_cell_length_c 4.2383
_cell_angle_alpha 90.00
_cell_angle_beta 109.51
_cell_angle_gamma 90.00
loop_
_atom_site_label
_atom_site_type_symbol
_atom_site_fract_x
_atom_site_fract_y
_atom_site_fract_z
_atom_site_occupancy
Mg1 Mg 0.5944 0.0000 0.1436 1
Mg2 Mg 0.9431 0.5000 0.3129 1
Li1 Li 0.2731 0.5000 0.9718 1
Li2 Li 0.5762 0.5000 0.6304 1
V1 V 0.1865 0.0000 0.4835 1
V2 V 0.0185 0.0000 0.8092 1
# Space-group type: No. 6
# Energy of formation from the pure elements (meV per atom): 351
# E (eV for the cell shown): -23.148